Record 1
Material: SmHoSi
Method: DFT, PBE
State: optimized geometry

a b c (Å): 4.8881 4.8881 4.8881
angles (deg): 60.00 60.00 60.00
Positions (direct):
Sm1 0.0000 0.0000 0.0000
Ho1 0.5000 0.5000 0.5000
Si1 0.7500 0.7500 0.7500

E_tot (eV/cell): -16.1
Energy above the most stable polymorph in this dataset (meV/atom): 0.0

Record 2
Material: Tb
Method: DFT, PBE
State: optimized geometry

a b c (Å): 3.5642 3.5642 11.4581
angles (deg): 90.00 90.00 120.00
Positions (direct):
Tb1 0.0000 0.0000 0.0000
Tb2 0.0000 0.0000 0.5000
Tb3 0.3333 0.6667 0.2500
Tb4 0.6667 0.3333 0.7500

E_tot (eV/cell): -18.5
Energy above the most stable polymorph in this dataset (meV/atom): 1.4
Energy of formation (eV/atom): 0.00

Record 3
Material: NaTmCdS3
Method: DFT, PBE
State: optimized geometry

a b c (Å): 7.8242 4.0092 10.7611
angles (deg): 90.00 108.65 90.00
Positions (direct):
Na1 0.1848 0.2500 0.1427
Na2 0.8152 0.7500 0.8573
Tm1 0.3271 0.7500 0.8598
Tm2 0.6729 0.2500 0.1402
Cd1 0.0535 0.2500 0.6157
Cd2 0.9465 0.7500 0.3843
S1 0.0794 0.2500 0.8552
S2 0.2438 0.7500 0.5860
S3 0.4367 0.7500 0.1236
S4 0.5633 0.2500 0.8764
S5 0.7562 0.2500 0.4140
S6 0.9206 0.7500 0.1448

E_tot (eV/cell): -54.2
Energy above the most stable polymorph in this dataset (meV/atom): 3.4

Record 4
Material: Sm4CoI5
Method: DFT, PBE
State: optimized geometry

a b c (Å): 10.0166 10.0166 8.9905
angles (deg): 102.54 102.54 23.71
Positions (direct):
Sm1 0.9995 0.9995 0.1992
Sm2 0.0005 0.0005 0.8008
Sm3 0.3587 0.3587 0.9260
Sm4 0.6413 0.6413 0.0740
Co1 0.5000 0.5000 0.0000
I1 0.1671 0.1671 0.3463
I2 0.1751 0.1751 0.8273
I3 0.5000 0.5000 0.5000
I4 0.8249 0.8249 0.1727
I5 0.8329 0.8329 0.6537

E_tot (eV/cell): -44.2

Record 5
Material: ScTa2W
Method: DFT, PBE
State: optimized geometry

a b c (Å): 4.6804 4.6804 4.6804
angles (deg): 60.00 60.00 60.00
Positions (direct):
Sc1 0.0000 0.0000 0.0000
Ta1 0.5000 0.5000 0.5000
Ta2 0.7500 0.7500 0.7500
W1 0.2500 0.2500 0.2500

E_tot (eV/cell): -42.1
Energy of formation (eV/atom): 0.23

Record 6
Material: Hf2Ag
Method: DFT, PBE
State: optimized geometry

a b c (Å): 5.6623 5.6623 5.6623
angles (deg): 60.00 60.00 60.00
Positions (direct):
Hf1 0.0000 0.0000 0.0000
Hf2 0.0000 0.0000 0.5000
Hf3 0.0000 0.5000 0.0000
Hf4 0.5000 0.0000 0.0000
Ag1 0.3750 0.3750 0.3750
Ag2 0.6250 0.6250 0.6250

E_tot (eV/cell): -42.5
Energy of formation (eV/atom): 0.50

Record 7
Material: LaAlCo
Method: DFT, PBE
State: optimized geometry

a b c (Å): 4.5252 4.5252 4.5252
angles (deg): 60.00 60.00 60.00
Positions (direct):
La1 0.0000 0.0000 0.0000
Al1 0.5000 0.5000 0.5000
Co1 0.7500 0.7500 0.7500

E_tot (eV/cell): -16.1

Record 8
Material: NdTmTe
Method: DFT, PBE
State: optimized geometry

a b c (Å): 5.1185 5.1185 5.1185
angles (deg): 60.00 60.00 60.00
Positions (direct):
Nd1 0.0000 0.0000 0.0000
Tm1 0.5000 0.5000 0.5000
Te1 0.2500 0.2500 0.2500

E_tot (eV/cell): -13.9
Energy above the most stable polymorph in this dataset (meV/atom): 0.0